Record 1
Compound: Tl2RuPb
Source: Alexandria via LeMat-Bulk
Functional: PBE
Structure: relaxed

Geometry as CIF:
```
data_Tl2RuPb
_chemical_formula_sum 'Tl4 Ru2 Pb2'
_space_group_name_H-M_alt 'I m m 2'
_space_group_IT_number 44
_space_group_name_Hall 'I 2 -2'
_cell_length_a 3.174
_cell_length_b 4.695
_cell_length_c 13.977
_cell_angle_alpha 90.00
_cell_angle_beta 90.00
_cell_angle_gamma 90.00
loop_
_atom_site_label
_atom_site_type_symbol
_atom_site_fract_x
_atom_site_fract_y
_atom_site_fract_z
_atom_site_occupancy
Tl1 Tl 0.000 0.000 0.000 1
Tl2 Tl 0.000 0.500 0.175 1
Ru1 Ru 0.000 0.500 0.679 1
Pb1 Pb 0.000 0.000 0.350 1
```

Values from the calculation:
The calculation puts the total magnetization at 0.00 μB/atom. The calculation puts the electronic total energy at -33.0 eV/cell. The value obtained for the distance to the lowest polymorph of the same formula is 6.9 meV per atom.



Record 2
Compound: SrNiBr2
Source: Alexandria via LeMat-Bulk
Functional: PBE
Structure: relaxed

Geometry as CIF:
```
data_SrNiBr2
_chemical_formula_sum 'Sr3 Ni3 Br6'
_space_group_name_H-M_alt 'R -3 m'
_space_group_IT_number 166
_space_group_name_Hall '-R 3 2"'
_cell_length_a 5.0282
_cell_length_b 5.0282
_cell_length_c 20.3083
_cell_angle_alpha 90.00
_cell_angle_beta 90.00
_cell_angle_gamma 120.00
loop_
_atom_site_label
_atom_site_type_symbol
_atom_site_fract_x
_atom_site_fract_y
_atom_site_fract_z
_atom_site_occupancy
Sr1 Sr 0.0000 0.0000 0.0000 1
Ni1 Ni 0.0000 0.0000 0.5000 1
Br1 Br 0.0000 0.0000 0.3916 1
```

Values from the calculation:
The calculation puts the total magnetization at 0.00 μB/atom. The calculation puts the electronic total energy at -42.3 eV/cell. The value obtained for the distance to the lowest polymorph of the same formula is 172.0 meV per atom. As for the raw formation energy: -0.824 eV per atom.



Record 3
Compound: GaAgN3
Source: Alexandria via LeMat-Bulk
Functional: PBE
Structure: relaxed

Geometry as CIF:
```
data_GaAgN3
_chemical_formula_sum 'Ga1 Ag1 N3'
_space_group_name_H-M_alt 'P m -3 m'
_space_group_IT_number 221
_space_group_name_Hall '-P 4 2 3'
_cell_length_a 3.944
_cell_length_b 3.944
_cell_length_c 3.944
_cell_angle_alpha 90.00
_cell_angle_beta 90.00
_cell_angle_gamma 90.00
loop_
_atom_site_label
_atom_site_type_symbol
_atom_site_fract_x
_atom_site_fract_y
_atom_site_fract_z
_atom_site_occupancy
Ga1 Ga 0.000 0.000 0.000 1
Ag1 Ag 0.500 0.500 0.500 1
N1 N 0.000 0.000 0.500 1
```

Values from the calculation:
The calculation puts the total magnetization at 0.81 μB/atom. The calculation puts the electronic total energy at -21.8 eV/cell. As for the raw formation energy: 1.802 eV per atom.